[1]
Compound: AcNbN
Source: Alexandria
Functional: PBE-GGA
Structure: relaxed

Unit cell a=3.3994 b=3.4478 c=6.4741 alpha=82.56 beta=74.78 gamma=60.46
With the nearest neighbours (Å) after each atom.
Positions (direct):
N1 0.3056 0.0000 0.3887  2 Nb 2.04
Nb1 0.7159 0.0000 0.5681  2 N 2.04
Ac1 0.9784 0.0000 0.0432  2 N 2.75

Properties
Crystal system: orthorhombic
E_form (uncorrected) (eV/atom): 0.0416
M_tot (μB per cell): 0.00
Fermi-level density of states (states/eV/f.u.): 2.27
Symmetry: Fmm2
Theoretical density (g/cm³): 8.70

---

[2]
Compound: Pm12ScAl3
Source: Alexandria
Functional: PBE-GGA
Structure: relaxed

Unit cell a=4.8895 b=4.8895 c=19.7988 alpha=90.00 beta=90.00 gamma=90.00
With the nearest neighbours (Å) after each atom.
Positions (direct):
Pm1 0.0000 0.5000 0.8693  8 Pm 3.45-3.56, 2 Al 3.47, 2 Sc 3.56
Pm2 0.5000 0.5000 0.5000  8 Pm 3.46, 4 Al 3.46
Sc1 0.0000 0.0000 0.0000  12 Pm 3.46-3.56
Pm3 0.0000 0.5000 0.6233  4 Al 3.43-3.46, 8 Pm 3.45-3.46
Al1 0.0000 0.0000 0.7446  12 Pm 3.43-3.47
Pm4 0.5000 0.0000 0.1307  8 Pm 3.45-3.56, 2 Al 3.47, 2 Sc 3.56
Pm5 0.5000 0.5000 0.2537  8 Pm 3.45, 4 Al 3.46
Pm6 0.0000 0.5000 0.1307  8 Pm 3.45-3.56, 2 Al 3.47, 2 Sc 3.56
Pm7 0.5000 0.0000 0.8693  8 Pm 3.45-3.56, 2 Al 3.47, 2 Sc 3.56
Pm8 0.5000 0.0000 0.6233  4 Al 3.43-3.46, 8 Pm 3.45-3.46
Pm9 0.5000 0.5000 0.0000  4 Sc 3.46, 8 Pm 3.56
Al2 0.0000 0.0000 0.2554  12 Pm 3.43-3.47
Pm10 0.5000 0.0000 0.3767  4 Al 3.43-3.46, 8 Pm 3.45-3.46
Pm11 0.5000 0.5000 0.7462  8 Pm 3.45, 4 Al 3.46
Pm12 0.0000 0.5000 0.3767  4 Al 3.43-3.46, 8 Pm 3.45-3.46
Al3 0.0000 0.0000 0.5000  12 Pm 3.46

Properties
Crystal system: tetragonal
M_tot (μB per cell): 0.00
Fermi-level density of states (states/eV/f.u.): 22.09
E_form (eV per atom): -0.11
Symmetry: P4/mmm
Theoretical density (g/cm³): 6.55

---

[3]
Compound: TbPmMgHg
Source: Alexandria
Functional: PBE-GGA
Structure: relaxed

Unit cell a=5.3684 b=5.3684 c=5.3684 alpha=60.00 beta=60.00 gamma=60.00
With the nearest neighbours (Å) after each atom.
Positions (direct):
Tb1 0.2500 0.2500 0.2500  4 Mg 3.29, 4 Hg 3.29
Hg1 0.5000 0.5000 0.5000  4 Pm 3.29, 4 Tb 3.29
Pm1 0.7500 0.7500 0.7500  4 Hg 3.29, 4 Mg 3.29
Mg1 0.0000 0.0000 0.0000  4 Pm 3.29, 4 Tb 3.29

Properties
Crystal system: cubic
M_tot (μB per cell): 0.36
Fermi-level density of states (states/eV/f.u.): 4.95
E_form (eV per atom): -0.26
Symmetry: F-43m
Theoretical density (g/cm³): 8.03

---

[4]
Compound: AlRe2Si
Source: Alexandria
Functional: PBE-GGA
Structure: relaxed

Unit cell a=3.1255 b=3.1260 c=5.7033 alpha=90.00 beta=90.00 gamma=90.00
With the nearest neighbours (Å) after each atom.
Positions (direct):
Re1 0.5000 0.5000 0.2786  4 Si 2.54, 1 Al 2.67, 4 Re 2.80
Re2 0.0000 0.0000 0.9772  4 Al 2.57, 1 Si 2.74, 4 Re 2.80
Al1 0.5000 0.5000 0.7469  5 Re 2.57-2.67, 4 Si 2.63
Si1 0.0000 0.0000 0.4973  5 Re 2.54-2.74, 4 Al 2.63

Properties
Crystal system: tetragonal
E_form (uncorrected) (eV/atom): -0.2694
M_tot (μB per cell): 0.00
Fermi-level density of states (states/eV/f.u.): 1.58
Symmetry: P4mm
Theoretical density (g/cm³): 12.74

---

[5]
Compound: YTcS2N
Source: Alexandria
Functional: PBE-GGA
Structure: relaxed

Unit cell a=4.8303 b=4.8303 c=3.7493 alpha=90.00 beta=90.00 gamma=90.00
With the nearest neighbours (Å) after each atom.
Positions (direct):
S1 0.5000 0.0000 0.0000  2 Tc 2.42
S2 0.0000 0.5000 0.0000  2 Tc 2.42
Tc1 0.0000 0.0000 0.0000  2 N 1.87
N1 0.0000 0.0000 0.5000  2 Tc 1.87
Y1 0.5000 0.5000 0.5000  8 S 3.06, 4 N 3.42

Properties
Crystal system: tetragonal
E_form (uncorrected) (eV/atom): -0.6253
M_tot (μB per cell): 0.00
Fermi-level density of states (states/eV/f.u.): 3.76
Symmetry: P4/mmm
Theoretical density (g/cm³): 5.03

---

[6]
Compound: Ta2AlCoC
Source: Alexandria
Functional: PBE-GGA
Structure: relaxed

Unit cell a=4.8248 b=3.4944 c=4.8248 alpha=90.00 beta=90.00 gamma=90.00
With the nearest neighbours (Å) after each atom.
Positions (direct):
Al1 0.0000 0.0000 0.0000  2 C 1.75
Co1 0.5000 0.5000 0.5000  8 Ta 2.98
C1 0.0000 0.5000 0.0000  2 Al 1.75
Ta1 0.5000 0.0000 0.0000  2 Al 2.41
Ta2 0.0000 0.0000 0.5000  2 Al 2.41

Properties
Crystal system: tetragonal
M_tot (μB per cell): 0.00
Fermi-level density of states (states/eV/f.u.): 4.30
E_form (eV per atom): 1.79
Symmetry: P4/mmm
Theoretical density (g/cm³): 9.39

---

[7]
Compound: AlCd2NiGe
Source: Alexandria
Functional: PBE-GGA
Structure: relaxed

Unit cell a=5.0696 b=4.9311 c=5.0696 alpha=90.00 beta=90.00 gamma=90.00
With the nearest neighbours (Å) after each atom.
Positions (direct):
Al1 0.0000 0.5000 0.0000  2 Ge 2.47
Cd1 0.0000 0.0000 0.5000  2 Ge 2.53
Ge1 0.0000 0.0000 0.0000  2 Al 2.47, 4 Cd 2.53
Ni1 0.5000 0.5000 0.5000  8 Cd 3.54, 4 Al 3.58
Cd2 0.5000 0.0000 0.0000  2 Ge 2.53

Properties
Crystal system: tetragonal
M_tot (μB per cell): 0.00
Fermi-level density of states (states/eV/f.u.): 4.74
E_form (eV per atom): 0.91
Symmetry: P4/mmm
Theoretical density (g/cm³): 5.02

---

[8]
Compound: Tl3InBi3
Source: Alexandria
Functional: PBE-GGA
Structure: relaxed

Unit cell a=8.5958 b=8.5958 c=8.5958 alpha=90.00 beta=90.00 gamma=90.00
With the nearest neighbours (Å) after each atom.
Positions (direct):
Bi1 0.0000 0.5000 0.7500  4 Tl 3.04
Tl1 0.5000 0.0000 0.7500  4 Bi 3.04
Bi2 0.2500 0.0000 0.5000  4 Tl 3.04
Tl2 0.2500 0.5000 0.0000  4 Bi 3.04
Bi3 0.7500 0.0000 0.5000  4 Tl 3.04
Bi4 0.5000 0.7500 0.0000  4 Tl 3.04
In1 0.0000 0.0000 0.0000  12 Tl 4.81, 12 Bi 4.81
Tl3 0.7500 0.5000 0.0000  4 Bi 3.04
Tl4 0.5000 0.0000 0.2500  4 Bi 3.04
Bi5 0.0000 0.5000 0.2500  4 Tl 3.04
In2 0.5000 0.5000 0.5000  12 Tl 4.81, 12 Bi 4.81
Tl5 0.0000 0.2500 0.5000  4 Bi 3.04
Tl6 0.0000 0.7500 0.5000  4 Bi 3.04
Bi6 0.5000 0.2500 0.0000  4 Tl 3.04

Properties
Crystal system: cubic
M_tot (μB per cell): 0.00
Fermi-level density of states (states/eV/f.u.): 4.27
E_form (eV per atom): 0.37
Symmetry: Pm-3n
Theoretical density (g/cm³): 7.08

---

[9]
Compound: NaHfIn
Source: Alexandria
Functional: PBE-GGA
Structure: relaxed

Unit cell a=3.2731 b=3.2770 c=16.2880 alpha=89.41 beta=95.52 gamma=60.12
With the nearest neighbours (Å) after each atom.
Positions (direct):
Na1 0.2342 0.6487 0.0955  8 Na 3.27-3.61, 3 In 3.34-3.35
In1 0.6784 0.9229 0.2661  3 Hf 3.20-3.21, 6 In 3.27-3.28, 3 Na 3.34-3.35
Hf1 0.8829 0.8040 0.5741  9 Hf 3.05-3.28, 3 In 3.20-3.21
Na2 0.7658 0.3513 0.9045  8 Na 3.27-3.61, 3 In 3.34-3.35
In2 0.3216 0.0771 0.7339  3 Hf 3.20-3.21, 6 In 3.27-3.28, 3 Na 3.34-3.35
Hf2 0.1171 0.1960 0.4259  9 Hf 3.05-3.28, 3 In 3.20-3.21

Properties
Crystal system: triclinic
M_tot (μB per cell): 0.00
Fermi-level density of states (states/eV/f.u.): 2.08
E_form (eV per atom): -0.02
Symmetry: P-1
Theoretical density (g/cm³): 6.98

---

[10]
Compound: CsGaC
Source: Alexandria
Functional: PBE-GGA
Structure: relaxed

Unit cell a=6.8225 b=3.8592 c=12.4053 alpha=90.00 beta=90.00 gamma=90.00
With the nearest neighbours (Å) after each atom.
Positions (direct):
Cs1 0.4160 0.2500 0.1527  2 C 3.26-3.51, 1 Ga 3.61
Ga1 0.9324 0.7500 0.0662  3 C 1.98-2.13
C1 0.6340 0.7500 0.5654  3 Ga 1.98-2.13
C2 0.1340 0.7500 0.9346  3 Ga 1.98-2.13
C3 0.3660 0.2500 0.4346  3 Ga 1.98-2.13
C4 0.8660 0.2500 0.0654  3 Ga 1.98-2.13
Ga2 0.0676 0.2500 0.9338  3 C 1.98-2.13
Cs2 0.0840 0.7500 0.6527  2 C 3.26-3.51, 1 Ga 3.61
Ga3 0.5676 0.2500 0.5662  3 C 1.98-2.13
Cs3 0.9160 0.2500 0.3473  2 C 3.26-3.51, 1 Ga 3.61
Cs4 0.5840 0.7500 0.8473  2 C 3.26-3.51, 1 Ga 3.61
Ga4 0.4324 0.7500 0.4338  3 C 1.98-2.13

Properties
Crystal system: orthorhombic
M_tot (μB per cell): 0.00
Fermi-level density of states (states/eV/f.u.): 0.23
E_form (eV per atom): 0.70
Symmetry: Pnma
Theoretical density (g/cm³): 4.36

---

[11]
Compound: PaRe2Ni
Source: Alexandria
Functional: PBE-GGA
Structure: relaxed

Unit cell a=4.4438 b=4.4438 c=5.1617 alpha=64.50 beta=64.50 gamma=60.00
With the nearest neighbours (Å) after each atom.
Positions (direct):
Pa1 0.0000 0.0000 0.0000  2 Re 2.56
Ni1 0.5000 0.5000 0.5000  6 Re 2.59
Re1 0.8097 0.8097 0.5710  1 Pa 2.56, 3 Ni 2.59, 3 Re 2.64
Re2 0.1903 0.1903 0.4290  1 Pa 2.56, 3 Ni 2.59, 3 Re 2.64

Properties
Crystal system: trigonal
M_tot (μB per cell): 0.00
Fermi-level density of states (states/eV/f.u.): 4.75
E_form (eV per atom): 0.11
Symmetry: R-3m
Theoretical density (g/cm³): 14.35